MnIO2 | GGA+U | optimized geometry

As for the total energy: -0.3504 Ry/atom. As for the relative energy among the computed polymorphs: 3.376 eV/f.u.

The space group is I-42d (No. 122) and the conventional cell measures 5.765, 5.765 and 8.156 Å, with angles of 90.00, 90.00 and 90.00 degrees. The distinct sites, in fractional coordinates, are Mn at (0.000, 0.000, 0.000), I at (0.000, 0.000, 0.500) and O at (0.002, 0.750, 0.125).